! NdGaAgPd, optimized geometry, DFT PBE-GGA; values from VASP
! Total moment, μB per cell: 0.0
! VASP energy, eV/atom: -4.407
&SYSTEM
  ibrav = 0, nat = 4, ntyp = 4
/
ATOMIC_SPECIES
Ga 69.72 Ga.upf
Nd 144.24 Nd.upf
Pd 106.42 Pd.upf
Ag 107.87 Ag.upf
CELL_PARAMETERS angstrom
4.876 0.000 0.000
2.438 4.223 0.000
2.438 1.408 3.981
ATOMIC_POSITIONS angstrom
Ga 2.438 1.408 0.995
Nd 7.314 4.223 2.986
Pd 0.000 0.000 0.000
Ag 4.876 2.815 1.991